No. 1
VASP calculation (GGA-PBE) on an optimized crystal structure of Cd2Rh2S. Values from VASP.

Properties
- Energy: -4.264 eV/atom
- ΔE_f (raw): -0.66 eV/f.u.
- Space group: P4/mbm, No. 127

```
&SYSTEM
  ibrav = 0, nat = 10, ntyp = 3
/
ATOMIC_SPECIES
Cd 112.41 Cd.upf
Rh 102.91 Rh.upf
S 32.06 S.upf
ATOMIC_POSITIONS angstrom
Cd 0.980 2.149 0.000
Cd 2.149 5.279 0.000
Cd 4.110 0.980 0.000
Cd 5.279 4.110 0.000
Rh 1.010 4.140 2.226
Rh 2.119 1.010 2.226
Rh 4.140 5.249 2.226
Rh 5.249 2.119 2.226
S 0.000 0.000 2.226
S 3.130 3.130 2.226
CELL_PARAMETERS angstrom
6.260 0.000 0.000
0.000 6.260 0.000
0.000 0.000 4.452
```

No. 2
VASP calculation (GGA-PBE) on an optimized crystal structure of KInC2. Values from VASP.

Properties
- Energy: -3.747 eV/atom
- E_form: 1.82 eV/atom
- Space group: I4_1/amd, No. 141

```
&SYSTEM
  ibrav = 0, nat = 8, ntyp = 3
/
ATOMIC_SPECIES
K 39.10 K.upf
In 114.82 In.upf
C 12.01 C.upf
ATOMIC_POSITIONS angstrom
K 2.372 1.186 1.830
K 0.000 1.186 5.490
In 2.372 -1.186 5.490
In 0.000 3.558 1.830
C 0.000 0.000 0.000
C 1.186 1.186 -3.660
C 1.186 -1.186 3.660
C 0.000 2.372 0.000
CELL_PARAMETERS angstrom
-2.372 2.372 7.320
2.372 -2.372 7.320
2.372 2.372 -7.320
```

No. 3
VASP calculation (GGA-PBE) on an optimized crystal structure of Fe2NiPt8. Values from VASP.

Properties
- Energy: -6.614 eV/atom
- E_form: -0.16 eV/atom
- Space group: C2/m, No. 12

```
&SYSTEM
  ibrav = 0, nat = 11, ntyp = 3
/
ATOMIC_SPECIES
Fe 55.84 Fe.upf
Ni 58.69 Ni.upf
Pt 195.08 Pt.upf
ATOMIC_POSITIONS angstrom
Fe 2.924 0.000 0.860
Fe 9.399 0.000 5.097
Ni 6.162 0.000 2.978
Pt 0.257 0.000 1.380
Pt 0.812 0.000 4.145
Pt 3.491 0.000 3.493
Pt 5.562 0.000 0.268
Pt 6.762 0.000 5.689
Pt 8.832 0.000 2.463
Pt 11.512 0.000 1.811
Pt 12.067 0.000 4.576
CELL_PARAMETERS angstrom
7.000 -1.953 0.000
7.000 1.953 0.000
-1.676 0.000 5.957
```